Entry 1:
VASP calculation (GGA-PBE) on an optimized crystal structure of Pr3PaAs4.

Cell: 5.997 5.997 12.017 Å, 90.00 90.00 90.00°
Fractional coordinates of all 16 atoms:
Pr 0.000 0.000 0.000
Pr 0.000 0.500 0.250
Pr 0.000 0.500 0.750
Pr 0.500 0.000 0.250
Pr 0.500 0.000 0.750
Pr 0.500 0.500 0.500
Pa 0.000 0.000 0.500
Pa 0.500 0.500 0.000
As 0.000 0.000 0.261
As 0.000 0.000 0.739
As 0.000 0.500 0.000
As 0.000 0.500 0.500
As 0.500 0.000 0.000
As 0.500 0.000 0.500
As 0.500 0.500 0.239
As 0.500 0.500 0.761

Computed properties:
symmetry: I4/mmm, No. 139
crystal system: tetragonal

***

Entry 2:
VASP calculation (GGA-PBE) on an optimized crystal structure of PrPa2As3.

Cell: 8.317 5.875 12.444 Å, 90.00 90.00 90.00°
Fractional coordinates of all 24 atoms:
Pr 0.124 0.250 0.079
Pr 0.376 0.750 0.579
Pr 0.624 0.250 0.421
Pr 0.876 0.750 0.921
Pa 0.123 0.250 0.416
Pa 0.124 0.250 0.754
Pa 0.376 0.750 0.254
Pa 0.377 0.750 0.916
Pa 0.623 0.250 0.084
Pa 0.624 0.250 0.746
Pa 0.876 0.750 0.246
Pa 0.877 0.750 0.584
As 0.118 0.750 0.413
As 0.126 0.750 0.751
As 0.135 0.750 0.088
As 0.365 0.250 0.588
As 0.374 0.250 0.251
As 0.382 0.250 0.913
As 0.618 0.750 0.087
As 0.626 0.750 0.749
As 0.635 0.750 0.412
As 0.865 0.250 0.912
As 0.874 0.250 0.249
As 0.882 0.250 0.587

Computed properties:
symmetry: Pnma, No. 62
crystal system: orthorhombic

***

Entry 3:
VASP calculation (GGA-PBE) on an optimized crystal structure of PrPa4As5.

Cell: 7.150 7.150 10.140 Å, 118.19 118.19 33.54°
Fractional coordinates of all 10 atoms:
Pr 0.000 0.000 0.000
Pa 0.201 0.201 0.795
Pa 0.403 0.403 0.602
Pa 0.597 0.597 0.398
Pa 0.799 0.799 0.205
As 0.000 0.000 0.500
As 0.202 0.202 0.307
As 0.393 0.393 0.102
As 0.607 0.607 0.898
As 0.798 0.798 0.693

Computed properties:
symmetry: C2/m, No. 12
crystal system: monoclinic

***

Entry 4:
VASP calculation (GGA-PBE) on an optimized crystal structure of PrPa3As4.

Cell: 8.283 11.711 4.137 Å, 90.00 90.00 90.00°
Fractional coordinates of all 16 atoms:
Pr 0.000 0.000 0.000
Pr 0.500 0.500 0.000
Pa 0.000 0.500 0.000
Pa 0.250 0.250 0.500
Pa 0.250 0.750 0.500
Pa 0.500 0.000 0.000
Pa 0.750 0.250 0.500
Pa 0.750 0.750 0.500
As 0.000 0.254 0.000
As 0.000 0.746 0.000
As 0.241 0.500 0.500
As 0.259 0.000 0.500
As 0.500 0.246 0.000
As 0.500 0.754 0.000
As 0.741 0.000 0.500
As 0.759 0.500 0.500

Computed properties:
symmetry: Cmmm, No. 65
crystal system: orthorhombic

***

Entry 5:
VASP calculation (GGA-PBE) on an optimized crystal structure of PrPaAs.

Cell: 3.903 3.903 6.702 Å, 90.00 90.00 120.00°
Fractional coordinates of all 3 atoms:
Pr 0.000 0.000 0.000
Pa 0.333 0.667 0.447
As 0.667 0.333 0.710

Computed properties:
symmetry: P3m1, No. 156
crystal system: trigonal

***

Entry 6:
VASP calculation (GGA-PBE) on an optimized crystal structure of Pr2PaAs.

Cell: 3.740 3.740 31.620 Å, 90.00 90.00 120.00°
Fractional coordinates of all 12 atoms:
Pr 0.000 0.000 0.107
Pr 0.000 0.000 0.893
Pr 0.333 0.667 0.560
Pr 0.333 0.667 0.774
Pr 0.667 0.333 0.226
Pr 0.667 0.333 0.440
Pa 0.000 0.000 0.000
Pa 0.333 0.667 0.667
Pa 0.667 0.333 0.333
As 0.000 0.000 0.500
As 0.333 0.667 0.167
As 0.667 0.333 0.833

Computed properties:
symmetry: R-3m, No. 166
crystal system: trigonal

***

Values for size of the total moment, Bohr magnetons per cell, ordered as above
0.00; 0.00; 0.00; 0.00; 1.57; 3.54
Values for energy, eV/atom, ordered as above
-6.69; -7.47; -7.74; -7.63; -6.74; -5.94